First-principles (PBE) data for a geometry-optimized Hf2PaNbC4 structure, as listed in Alexandria.

Summary:
The value obtained for the formation energy from the elements is -3.00 eV per formula unit. As for the magnetization: 0.0 Bohr magnetons per cell.

Lattice parameters (Å, degrees): 6.0632 6.0632 11.7054 90.00 90.00 148.07
Last column: nearest neighbours and their distance in Å.
Fractional positions:
Hf (0.1316, 0.8684, 0.5314)  5 C 2.21-2.42
Hf (0.1316, 0.8684, 0.9686)  5 C 2.21-2.42
Hf (0.8684, 0.1316, 0.0314)  5 C 2.21-2.42
Hf (0.8684, 0.1316, 0.4686)  5 C 2.21-2.42
Pa (0.3620, 0.6380, 0.7500)  6 C 2.47-2.59
Pa (0.6380, 0.3620, 0.2500)  6 C 2.47-2.59
Nb (0.3703, 0.6297, 0.2500)  4 C 2.11
Nb (0.6297, 0.3703, 0.7500)  4 C 2.11
C (0.0183, 0.9817, 0.7500)  2 Nb 2.11
C (0.2462, 0.7538, 0.1190)  1 Nb 2.11, 1 Hf 2.21
C (0.2462, 0.7538, 0.3810)  1 Nb 2.11, 1 Hf 2.21
C (0.5000, 0.5000, 0.0000)  4 Hf 2.30
C (0.5000, 0.5000, 0.5000)  4 Hf 2.30
C (0.7538, 0.2462, 0.6190)  1 Nb 2.11, 1 Hf 2.21
C (0.7538, 0.2462, 0.8810)  1 Nb 2.11, 1 Hf 2.21
C (0.9817, 0.0183, 0.2500)  2 Nb 2.11